12
Lattice="3.254 -5.638 0.000 3.254 5.638 0.000 -2.169 0.000 6.949" Properties=species:S:1:pos:R:3 comment="Cs3La2NdO6 | the Alexandria database | PBE | optimized geometry" total_energy_ev_per_atom=-6.464 n_ef_per_ev_cell=0.0 e_form_raw_ev_per_atom=-2.553 pbc="T T T"
Cs 0.000 0.000 0.000
Cs 3.254 1.875 0.000
Cs 3.254 -1.875 0.000
La 2.170 3.758 3.474
La 2.170 -3.758 3.474
Nd 2.170 0.000 3.474
O 1.097 1.857 2.296
O 0.026 0.000 4.654
O 1.097 -1.857 2.296
O 3.243 1.857 4.652
O 4.314 0.000 2.294
O 3.243 -1.857 4.652

***

12
Lattice="3.957 -7.786 0.000 3.957 7.786 0.000 -1.457 0.000 7.095" Properties=species:S:1:pos:R:3 comment="CsKHfSe3 | the Alexandria database | PBE | optimized geometry" total_energy_ev_per_atom=-5.094 n_ef_per_ev_cell=0.0 e_form_raw_ev_per_atom=-1.368 pbc="T T T"
Cs 2.865 3.921 5.321
Cs 3.593 -3.921 1.774
K 3.593 1.349 1.774
K 2.865 -1.349 5.321
Hf 3.593 7.042 1.774
Hf 2.865 -7.042 5.321
Se 0.974 0.603 3.558
Se 3.593 4.547 1.774
Se 1.702 -0.603 0.010
Se 4.755 0.603 7.085
Se 2.865 -4.547 5.321
Se 5.484 -0.603 3.537

***

4
Lattice="1.717 0.992 7.566 -1.717 0.992 7.566 0.000 -1.983 7.566" Properties=species:S:1:pos:R:3 comment="Hf2TlB | the Alexandria database | PBE | optimized geometry" polymorph_energy_mev_per_atom=0 total_energy_ev_per_atom=-7.617 n_ef_per_ev_cell=1.8 formation_energy_ev_per_atom=-0.3792 pbc="T T T"
Hf 0.000 0.000 5.047
Hf 0.000 0.000 17.652
Tl 0.000 0.000 0.000
B 0.000 0.000 11.350

***

15
Lattice="4.600 2.656 8.021 -4.600 2.656 8.021 0.000 -5.312 8.021" Properties=species:S:1:pos:R:3 comment="Ba3Nd3MgTe8 | the Alexandria database | PBE | optimized geometry" total_energy_ev_per_atom=-4.580 n_ef_per_ev_cell=4.3 e_form_raw_ev_per_atom=-1.460 pbc="T T T"
Ba -2.300 -1.328 8.021
Ba -2.300 1.328 16.041
Ba 0.000 2.656 8.020
Nd -4.600 0.000 12.031
Nd -2.300 1.328 4.010
Nd 2.300 1.328 4.010
Mg 0.000 0.000 12.031
Te 0.000 0.000 5.812
Te -2.236 -1.291 13.747
Te 0.000 -2.582 10.315
Te -2.236 1.291 10.315
Te 2.236 -1.291 13.747
Te 0.000 2.582 13.747
Te 2.236 1.291 10.315
Te 0.000 0.000 18.249

***

Q: What is the formula in the third record?
A: Hf2TlB